# 1
Below is Mg2Zr at its PBEsol-relaxed geometry, with properties calculated at the meta-GGA SCAN level.

```
data_Mg2Zr
_cell_length_a 4.414
_cell_length_b 4.414
_cell_length_c 26.790
_cell_angle_alpha 90.00
_cell_angle_beta 90.00
_cell_angle_gamma 90.00
_symmetry_space_group_name_H-M 'I 41/a m d'
_symmetry_Int_Tables_number 141
loop_
_symmetry_equiv_pos_as_xyz
'x,y,z'
'-x,-y,-z'
'-y+1/4,x+3/4,z+1/4'
'y+1/4,-x+3/4,-z+1/4'
'-x+1/2,-y,z+1/2'
'x+1/2,y,-z+1/2'
'y+1/4,-x+1/4,z+3/4'
'-y+1/4,x+1/4,-z+3/4'
'x,-y,-z'
'-x,y,z'
'-y+1/4,-x+1/4,-z+3/4'
'y+1/4,x+1/4,z+3/4'
'-x+1/2,y,-z+1/2'
'x+1/2,-y,z+1/2'
'y+1/4,x+3/4,-z+1/4'
'-y+1/4,-x+3/4,z+1/4'
'x+1/2,y+1/2,z+1/2'
'-x+1/2,-y+1/2,-z+1/2'
'-y+3/4,x+1/4,z+3/4'
'y+3/4,-x+1/4,-z+3/4'
'-x,-y+1/2,z'
'x,y+1/2,-z'
'y+3/4,-x+3/4,z+1/4'
'-y+3/4,x+3/4,-z+1/4'
'x+1/2,-y+1/2,-z+1/2'
'-x+1/2,y+1/2,z+1/2'
'-y+3/4,-x+3/4,-z+1/4'
'y+3/4,x+3/4,z+1/4'
'-x,y+1/2,-z'
'x,-y+1/2,z'
'y+3/4,x+1/4,-z+3/4'
'-y+3/4,-x+1/4,z+3/4'
loop_
_atom_site_label
_atom_site_type_symbol
_atom_site_fract_x
_atom_site_fract_y
_atom_site_fract_z
_atom_site_occupancy
Mg1 Mg 0.000 0.250 0.124 1
Mg2 Mg 0.000 0.250 0.291 1
Zr1 Zr 0.000 0.250 0.790 1
```

Properties
Magnetic moment, μB per cell: 6.806
Energy of formation from the pure elements, eV per atom: 0.020

# 2
Below is Mg4Zr3 at its PBEsol-relaxed geometry, with properties calculated at the meta-GGA SCAN level.

```
data_Mg4Zr3
_cell_length_a 3.116
_cell_length_b 3.116
_cell_length_c 31.578
_cell_angle_alpha 90.00
_cell_angle_beta 90.00
_cell_angle_gamma 90.00
_symmetry_space_group_name_H-M 'I 4/m m m'
_symmetry_Int_Tables_number 139
_symmetry_space_group_name_Hall '-I 4 2'
loop_
_atom_site_label
_atom_site_type_symbol
_atom_site_fract_x
_atom_site_fract_y
_atom_site_fract_z
_atom_site_occupancy
Mg1 Mg 0.000 0.000 0.070 1
Mg2 Mg 0.000 0.000 0.359 1
Zr1 Zr 0.000 0.000 0.215 1
Zr2 Zr 0.000 0.000 0.500 1
```

Properties
Magnetic moment, μB per cell: 0.416
Energy of formation from the pure elements, eV per atom: -0.016

# 3
Below is Mg5Zr3 at its PBEsol-relaxed geometry, with properties calculated at the meta-GGA SCAN level.

```
data_Mg5Zr3
_cell_length_a 8.781
_cell_length_b 9.035
_cell_length_c 4.375
_cell_angle_alpha 90.00
_cell_angle_beta 90.00
_cell_angle_gamma 90.00
_symmetry_space_group_name_H-M 'C m m m'
_symmetry_Int_Tables_number 65
_symmetry_space_group_name_Hall '-C 2 2'
loop_
_atom_site_label
_atom_site_type_symbol
_atom_site_fract_x
_atom_site_fract_y
_atom_site_fract_z
_atom_site_occupancy
Mg1 Mg 0.000 0.000 0.000 1
Mg2 Mg 0.000 0.245 0.500 1
Mg3 Mg 0.250 0.250 0.000 1
Zr1 Zr 0.000 0.500 0.000 1
Zr2 Zr 0.233 0.500 0.500 1
```

Properties
Magnetic moment, μB per cell: 1.605
Energy of formation from the pure elements, eV per atom: 0.061

# 4
Below is Mg2Zr at its PBEsol-relaxed geometry, with properties calculated at the meta-GGA SCAN level.

```
data_Mg2Zr
_cell_length_a 3.060
_cell_length_b 17.150
_cell_length_c 5.025
_cell_angle_alpha 90.00
_cell_angle_beta 90.00
_cell_angle_gamma 90.00
_symmetry_space_group_name_H-M 'C m c m'
_symmetry_Int_Tables_number 63
_symmetry_space_group_name_Hall '-C 2c 2'
loop_
_atom_site_label
_atom_site_type_symbol
_atom_site_fract_x
_atom_site_fract_y
_atom_site_fract_z
_atom_site_occupancy
Mg1 Mg 0.000 0.055 0.250 1
Mg2 Mg 0.000 0.388 0.250 1
Zr1 Zr 0.000 0.273 0.750 1
```

Properties
Magnetic moment, μB per cell: 0.000
Energy of formation from the pure elements, eV per atom: 0.049

# 5
Below is MgZr2 at its PBEsol-relaxed geometry, with properties calculated at the meta-GGA SCAN level.

```
data_MgZr2
_cell_length_a 3.004
_cell_length_b 3.004
_cell_length_c 29.529
_cell_angle_alpha 90.00
_cell_angle_beta 90.00
_cell_angle_gamma 90.00
_symmetry_space_group_name_H-M 'I 41/a m d'
_symmetry_Int_Tables_number 141
loop_
_symmetry_equiv_pos_as_xyz
'x,y,z'
'-x,-y,-z'
'-y+1/4,x+3/4,z+1/4'
'y+1/4,-x+3/4,-z+1/4'
'-x+1/2,-y,z+1/2'
'x+1/2,y,-z+1/2'
'y+1/4,-x+1/4,z+3/4'
'-y+1/4,x+1/4,-z+3/4'
'x,-y,-z'
'-x,y,z'
'-y+1/4,-x+1/4,-z+3/4'
'y+1/4,x+1/4,z+3/4'
'-x+1/2,y,-z+1/2'
'x+1/2,-y,z+1/2'
'y+1/4,x+3/4,-z+1/4'
'-y+1/4,-x+3/4,z+1/4'
'x+1/2,y+1/2,z+1/2'
'-x+1/2,-y+1/2,-z+1/2'
'-y+3/4,x+1/4,z+3/4'
'y+3/4,-x+1/4,-z+3/4'
'-x,-y+1/2,z'
'x,y+1/2,-z'
'y+3/4,-x+3/4,z+1/4'
'-y+3/4,x+3/4,-z+1/4'
'x+1/2,-y+1/2,-z+1/2'
'-x+1/2,y+1/2,z+1/2'
'-y+3/4,-x+3/4,-z+1/4'
'y+3/4,x+3/4,z+1/4'
'-x,y+1/2,-z'
'x,-y+1/2,z'
'y+3/4,x+1/4,-z+3/4'
'-y+3/4,-x+1/4,z+3/4'
loop_
_atom_site_label
_atom_site_type_symbol
_atom_site_fract_x
_atom_site_fract_y
_atom_site_fract_z
_atom_site_occupancy
Mg1 Mg 0.000 0.250 0.375 1
Zr1 Zr 0.000 0.250 0.793 1
```

Properties
Magnetic moment, μB per cell: 0.002
Energy of formation from the pure elements, eV per atom: 0.219

# 6
Below is Mg2Zr at its PBEsol-relaxed geometry, with properties calculated at the meta-GGA SCAN level.

```
data_Mg2Zr
_cell_length_a 3.0690
_cell_length_b 3.0690
_cell_length_c 8.0169
_cell_angle_alpha 90.00
_cell_angle_beta 90.00
_cell_angle_gamma 120.00
_symmetry_space_group_name_H-M 'P -3 m 1'
_symmetry_Int_Tables_number 164
_symmetry_space_group_name_Hall '-P 3 2"'
loop_
_atom_site_label
_atom_site_type_symbol
_atom_site_fract_x
_atom_site_fract_y
_atom_site_fract_z
_atom_site_occupancy
Mg1 Mg 0.3333 0.6667 0.3342 1
Zr1 Zr 0.0000 0.0000 0.0000 1
```

Properties
Magnetic moment, μB per cell: 0.094
Energy of formation from the pure elements, eV per atom: 0.037

# 7
Below is MgZr5 at its PBEsol-relaxed geometry, with properties calculated at the meta-GGA SCAN level.

```
data_MgZr5
_cell_length_a 4.455
_cell_length_b 13.422
_cell_length_c 4.394
_cell_angle_alpha 90.00
_cell_angle_beta 90.00
_cell_angle_gamma 90.00
_symmetry_space_group_name_H-M 'C m m m'
_symmetry_Int_Tables_number 65
_symmetry_space_group_name_Hall '-C 2 2'
loop_
_atom_site_label
_atom_site_type_symbol
_atom_site_fract_x
_atom_site_fract_y
_atom_site_fract_z
_atom_site_occupancy
Mg1 Mg 0.000 0.000 0.000 1
Zr1 Zr 0.000 0.165 0.500 1
Zr2 Zr 0.000 0.333 0.000 1
Zr3 Zr 0.000 0.500 0.500 1
```

Properties
Magnetic moment, μB per cell: 0.000
Energy of formation from the pure elements, eV per atom: 0.040

# 8
Below is MgZr2 at its PBEsol-relaxed geometry, with properties calculated at the meta-GGA SCAN level.

```
data_MgZr2
_cell_length_a 3.147
_cell_length_b 4.251
_cell_length_c 9.713
_cell_angle_alpha 90.00
_cell_angle_beta 90.00
_cell_angle_gamma 90.00
_symmetry_space_group_name_H-M 'I m m m'
_symmetry_Int_Tables_number 71
_symmetry_space_group_name_Hall '-I 2 2'
loop_
_atom_site_label
_atom_site_type_symbol
_atom_site_fract_x
_atom_site_fract_y
_atom_site_fract_z
_atom_site_occupancy
Mg1 Mg 0.000 0.000 0.000 1
Zr1 Zr 0.000 0.000 0.333 1
```

Properties
Magnetic moment, μB per cell: 0.298
Energy of formation from the pure elements, eV per atom: 0.069

- Which value of energy of formation from the pure elements does entry 5 give?
  0.219 eV per atom